Y6AlGa2 | GGA-PBE | optimized geometry

## Properties
The calculation puts the formation energy at -0.28 eV/atom. As for the energy: -5.677 eV/atom.

Cell: 6.2806 8.4064 9.4428 Å, 90.00 83.13 90.00°
With the nearest neighbours (Å) after each atom.
Atoms (fractional coordinates):
Y: 0.8667 0.9584 0.2166  1 Al 2.92, 2 Ga 3.10-3.13
Y: 0.8685 0.6631 0.5575  3 Ga 2.97-3.13, 1 Al 2.98, 1 Y 3.32
Y: 0.8986 0.6859 0.9371  1 Al 2.95, 2 Ga 3.10-3.25
Y: 0.6014 0.1859 0.5629  1 Al 2.95, 2 Ga 3.10-3.25
Y: 0.6315 0.1631 0.9425  3 Ga 2.97-3.13, 1 Al 2.98, 1 Y 3.32
Y: 0.6333 0.4584 0.2834  1 Al 2.92, 2 Ga 3.10-3.13
Y: 0.1333 0.0416 0.7834  1 Al 2.92, 2 Ga 3.10-3.13
Y: 0.1315 0.3369 0.4425  3 Ga 2.97-3.13, 1 Al 2.98, 1 Y 3.32
Y: 0.1014 0.3141 0.0629  1 Al 2.95, 2 Ga 3.10-3.25
Y: 0.3986 0.8141 0.4371  1 Al 2.95, 2 Ga 3.10-3.25
Y: 0.3685 0.8369 0.0575  3 Ga 2.97-3.13, 1 Al 2.98, 1 Y 3.32
Y: 0.3667 0.5416 0.7166  1 Al 2.92, 2 Ga 3.10-3.13
Al: 0.5000 0.5000 0.0000  6 Y 2.92-2.98
Al: 0.0000 0.0000 0.5000  6 Y 2.92-2.98
Ga: 0.9228 0.3763 0.7580  8 Y 2.97-3.30
Ga: 0.5772 0.8763 0.7420  8 Y 2.97-3.30
Ga: 0.4228 0.1237 0.2580  8 Y 2.97-3.30
Ga: 0.0772 0.6237 0.2420  8 Y 2.97-3.30

***

Tb2WN4 | GGA-PBE | optimized geometry

## Properties
As for the formation energy from raw total energies: -1110 meV per atom. As for the energy above the most stable polymorph in this dataset: 105.6 meV/atom. As for the energy: -9.041 eV/atom.

Cell: 5.8212 5.9677 6.6222 Å, 90.00 108.06 90.00°
With the nearest neighbours (Å) after each atom.
Atoms (fractional coordinates):
Tb: 0.6704 0.7500 0.0255  4 N 2.33-2.45
Tb: 0.3296 0.2500 0.9745  4 N 2.33-2.45
Tb: 0.2464 0.2500 0.4410  4 N 2.33-2.52
Tb: 0.7536 0.7500 0.5590  4 N 2.33-2.52
W: 0.2215 0.7500 0.1891  4 N 1.84-1.91
W: 0.7785 0.2500 0.8109  4 N 1.84-1.91
N: 0.4498 0.5100 0.2492  1 W 1.91
N: 0.0307 0.7500 0.9088  1 W 1.84
N: 0.9693 0.2500 0.0912  1 W 1.84
N: 0.4498 0.9900 0.2492  1 W 1.91
N: 0.9912 0.2500 0.6512  1 W 1.86
N: 0.5502 0.0100 0.7508  1 W 1.91
N: 0.5502 0.4900 0.7508  1 W 1.91
N: 0.0088 0.7500 0.3488  1 W 1.86

***

ZrTePdI2 | GGA-PBE | optimized geometry

## Properties
As for the formation energy from raw total energies: 345 meV per atom. As for the energy above the most stable polymorph in this dataset: 248.7 meV/atom. As for the energy: -3.652 eV/atom.

Cell: 5.3102 5.3102 5.4479 Å, 90.00 90.00 90.00°
With the nearest neighbours (Å) after each atom.
Atoms (fractional coordinates):
I: 0.0000 0.5000 0.0000  2 Pd 2.66
I: 0.5000 0.0000 0.0000  2 Pd 2.66
Te: 0.0000 0.0000 0.5000  2 Pd 2.72
Zr: 0.5000 0.5000 0.5000  4 Te 3.75, 8 I 3.80
Pd: 0.0000 0.0000 0.0000  4 I 2.66, 2 Te 2.72

***

YBeB2 | GGA-PBE | optimized geometry

## Properties
The calculation puts the formation energy at -0.13 eV/atom. As for the energy: -6.014 eV/atom.

Cell: 3.8731 3.8731 7.0527 Å, 74.06 74.06 90.00°
With the nearest neighbours (Å) after each atom.
Atoms (fractional coordinates):
Y: 0.0000 0.0000 0.0000  8 B 2.71, 4 Be 2.74
Y: 0.7500 0.2500 0.5000  8 B 2.71, 4 Be 2.74
Be: 0.5000 0.5000 0.0000  4 B 1.89
Be: 0.2500 0.7500 0.5000  4 B 1.89
B: 0.3750 0.1250 0.2500  2 Be 1.89, 2 B 1.94
B: 0.3750 0.6250 0.2500  2 Be 1.89, 2 B 1.94
B: 0.3750 0.6250 0.7500  2 Be 1.89, 2 B 1.94
B: 0.8750 0.6250 0.7500  2 Be 1.89, 2 B 1.94

***

Cs2AgICl3 | GGA-PBE | optimized geometry

## Properties
As for the formation energy from raw total energies: -1198 meV per atom. As for the energy: -2.862 eV/atom.

Cell: 5.5415 5.3858 9.6493 Å, 106.21 106.69 90.00°
With the nearest neighbours (Å) after each atom.
Atoms (fractional coordinates):
Cs: 0.6504 0.6504 0.3009  7 Cl 3.48-3.86, 2 I 3.79
Cs: 0.3496 0.3496 0.6991  7 Cl 3.48-3.86, 2 I 3.79
Ag: 0.0000 0.0000 0.0000  4 Cl 2.69-2.71, 2 I 2.77
I: 0.5000 0.0000 0.0000  2 Ag 2.77
Cl: 0.0000 0.5000 0.0000  2 Ag 2.69
Cl: 0.1530 0.1530 0.3059  1 Ag 2.71
Cl: 0.8470 0.8470 0.6941  1 Ag 2.71

***

BaGe2PdN | GGA-PBE | optimized geometry

## Properties
As for the formation energy from raw total energies: 1715 meV per atom. As for the energy: -3.220 eV/atom.

Cell: 5.8055 5.8055 4.3465 Å, 90.00 90.00 90.00°
With the nearest neighbours (Å) after each atom.
Atoms (fractional coordinates):
Ge: 0.0000 0.5000 0.0000  2 Ba 2.90
Ge: 0.5000 0.0000 0.0000  2 Ba 2.90
Ba: 0.0000 0.0000 0.0000  2 N 2.17
Pd: 0.5000 0.5000 0.5000  8 Ge 3.63
N: 0.0000 0.0000 0.5000  2 Ba 2.17

***

EuAl2O4 | GGA-PBE | optimized geometry

## Properties
As for the formation energy from raw total energies: -3014 meV per atom. As for the energy: -8.385 eV/atom.

Cell: 8.8904 5.2068 8.5132 Å, 86.58 90.00 90.00°
With the nearest neighbours (Å) after each atom.
Atoms (fractional coordinates):
Eu: 0.4978 0.2566 0.5153  6 O 2.52-2.72
Eu: 0.9978 0.7434 0.4847  6 O 2.52-2.72
Eu: 0.4909 0.1990 0.9752  4 O 2.49-2.61
Eu: 0.9909 0.8010 0.0248  4 O 2.49-2.61
Al: 0.3307 0.7131 0.8110  4 O 1.76-1.78
Al: 0.8307 0.2869 0.1890  4 O 1.76-1.78
Al: 0.3373 0.7225 0.2009  4 O 1.76-1.79
Al: 0.8373 0.2775 0.7991  4 O 1.76-1.79
Al: 0.1687 0.2172 0.2918  4 O 1.77-1.78
Al: 0.6687 0.7828 0.7082  4 O 1.77-1.78
Al: 0.6685 0.7980 0.3198  4 O 1.76-1.78
Al: 0.1685 0.2020 0.6802  4 O 1.76-1.78
O: 0.6702 0.4414 0.7340  2 Al 1.78-1.79
O: 0.1702 0.5586 0.2660  2 Al 1.78-1.79
O: 0.8156 0.5861 0.2739  2 Al 1.76-1.77
O: 0.3156 0.4139 0.7261  2 Al 1.76-1.77
O: 0.9902 0.3511 0.6720  2 Al 1.76
O: 0.4902 0.6489 0.3280  2 Al 1.76
O: 0.4844 0.9031 0.7378  2 Al 1.78
O: 0.9844 0.0969 0.2622  2 Al 1.78
O: 0.7970 0.9422 0.8274  2 Al 1.77-1.78
O: 0.2970 0.0578 0.1726  2 Al 1.77-1.78
O: 0.1669 0.9089 0.7997  2 Al 1.78
O: 0.6669 0.0911 0.2003  2 Al 1.78
O: 0.7154 0.8887 0.5120  2 Al 1.78
O: 0.2154 0.1113 0.4880  2 Al 1.78
O: 0.3840 0.6345 0.0091  2 Al 1.77-1.78
O: 0.8840 0.3655 0.9909  2 Al 1.77-1.78

***

Si2SbMo | GGA-PBE | optimized geometry

## Properties
As for the formation energy from raw total energies: 290 meV per atom. As for the energy: -6.160 eV/atom.

Cell: 7.2683 7.2683 7.2683 Å, 27.82 27.82 27.82°
With the nearest neighbours (Å) after each atom.
Atoms (fractional coordinates):
Mo: 0.5112 0.5112 0.5112  3 Si 2.56, 3 Sb 2.77
Sb: 0.7539 0.7539 0.7539  3 Mo 2.77, 3 Si 3.00
Si: 0.9815 0.9815 0.9815  3 Si 2.39
Si: 0.2534 0.2534 0.2534  3 Si 2.39, 3 Mo 2.56

***

Ta2SiTc | GGA-PBE | optimized geometry

## Properties
As for the formation energy from raw total energies: -232 meV per atom. As for the energy: -10.106 eV/atom.

Cell: 3.4006 4.3318 4.2861 Å, 90.00 90.00 90.00°
With the nearest neighbours (Å) after each atom.
Atoms (fractional coordinates):
Si: 0.0000 0.5000 0.5000  8 Ta 2.74-3.05, 4 Tc 2.75
Ta: 0.0000 0.0000 0.0000  4 Tc 2.74, 4 Ta 2.75, 4 Si 3.05
Ta: 0.5000 0.5000 0.0000  4 Si 2.74, 4 Ta 2.75, 4 Tc 3.05
Tc: 0.5000 0.0000 0.5000  8 Ta 2.74-3.05, 4 Si 2.75

***

ZrAgCl2 | GGA-PBE | optimized geometry

## Properties
As for the formation energy from raw total energies: -473 meV per atom. As for the energy above the most stable polymorph in this dataset: 449.6 meV/atom. As for the energy: -4.246 eV/atom.

Cell: 4.3975 3.3332 5.9028 Å, 85.62 90.00 90.00°
With the nearest neighbours (Å) after each atom.
Atoms (fractional coordinates):
Zr: 0.5000 0.2500 0.2500  4 Cl 2.65
Ag: 0.5000 0.7500 0.7500  4 Cl 3.01, 2 Zr 3.28, 2 Ag 3.33
Cl: 0.0000 0.1012 0.0205  2 Zr 2.65, 1 Cl 2.96
Cl: 0.0000 0.3988 0.4795  2 Zr 2.65, 1 Cl 2.96

***

Ce2NdPt | GGA-PBE | optimized geometry

## Properties
The calculation puts the formation energy at -0.44 eV/atom. As for the energy above the most stable polymorph in this dataset: 91.2 meV/atom. As for the energy: -6.113 eV/atom.

Cell: 3.7332 3.7332 7.8637 Å, 90.00 90.00 90.00°
With the nearest neighbours (Å) after each atom.
Atoms (fractional coordinates):
Nd: 0.5000 0.5000 0.5000  8 Ce 3.59, 4 Nd 3.73, 2 Pt 3.93
Ce: 0.0000 0.0000 0.8087  1 Ce 3.01, 4 Pt 3.04
Ce: 0.0000 0.0000 0.1913  1 Ce 3.01, 4 Pt 3.04
Pt: 0.5000 0.5000 0.0000  8 Ce 3.04

***

Ba2NaHAu | GGA-PBE | optimized geometry

## Properties
As for the energy above the most stable polymorph in this dataset: 134.7 meV/atom. As for the energy: -2.570 eV/atom.

Cell: 5.6060 5.6060 4.7049 Å, 90.00 90.00 90.00°
With the nearest neighbours (Å) after each atom.
Atoms (fractional coordinates):
Na: 0.5000 0.5000 0.5000  8 Ba 3.66, 4 Au 3.96
Au: 0.0000 0.0000 0.5000  2 H 2.35
Ba: 0.0000 0.5000 0.0000  2 H 2.80
Ba: 0.5000 0.0000 0.0000  2 H 2.80
H: 0.0000 0.0000 0.0000  2 Au 2.35

***

Pr2SmS4 | GGA-PBE | optimized geometry

## Properties
As for the formation energy from raw total energies: -2006 meV per atom. As for the energy above the most stable polymorph in this dataset: 8.2 meV/atom. As for the energy: -6.404 eV/atom.

Cell: 8.1329 8.1164 8.1164 Å, 60.96 59.93 59.93°
With the nearest neighbours (Å) after each atom.
Atoms (fractional coordinates):
Pr: 0.0000 0.0000 0.0000  6 S 2.85-2.87
Pr: 0.0000 0.0000 0.5000  6 S 2.87-2.92
Pr: 0.0000 0.5000 0.5000  6 S 2.85-2.87
Pr: 0.5000 0.0000 0.5000  6 S 2.87-2.92
Sm: 0.5000 0.5000 0.0000  6 S 2.82-2.86
Sm: 0.0000 0.5000 0.0000  6 S 2.82-2.86
S: 0.2522 0.2527 0.2428  2 Sm 2.86, 3 Pr 2.87-2.92
S: 0.7478 0.2572 0.2473  2 Sm 2.86, 3 Pr 2.87-2.92
S: 0.2522 0.7428 0.7527  2 Sm 2.86, 3 Pr 2.87-2.92
S: 0.7478 0.7473 0.7572  2 Sm 2.86, 3 Pr 2.87-2.92
S: 0.7604 0.7476 0.2476  1 Sm 2.82, 3 Pr 2.85-2.87
S: 0.7555 0.2524 0.7524  1 Sm 2.82, 3 Pr 2.85-2.87
S: 0.2445 0.7476 0.2476  1 Sm 2.82, 3 Pr 2.85-2.87
S: 0.2396 0.2524 0.7524  1 Sm 2.82, 3 Pr 2.85-2.87

***

SrY4HoSe8 | GGA-PBE | optimized geometry

## Properties
As for the formation energy from raw total energies: -1804 meV per atom. As for the energy: -6.089 eV/atom.

Cell: 8.5362 8.5362 8.5261 Å, 59.96 59.96 60.00°
With the nearest neighbours (Å) after each atom.
Atoms (fractional coordinates):
Sr: 0.3752 0.3752 0.8744  4 Se 2.89-2.90
Y: 0.6247 0.6247 0.1258  4 Se 2.77-2.78
Y: 0.0018 0.4947 0.5017  6 Se 2.84-2.95
Y: 0.4947 0.0018 0.5017  6 Se 2.84-2.95
Y: 0.0018 0.0018 0.5017  6 Se 2.84-2.95
Ho: 0.0019 0.0019 0.9942  6 Se 2.82-2.94
Se: 0.2355 0.7908 0.7382  1 Ho 2.82, 2 Y 2.84, 1 Sr 2.90
Se: 0.7908 0.2355 0.7382  1 Ho 2.82, 2 Y 2.84, 1 Sr 2.90
Se: 0.2355 0.2355 0.7382  1 Ho 2.82, 2 Y 2.84, 1 Sr 2.90
Se: 0.2366 0.2366 0.2902  3 Y 2.84, 1 Sr 2.89
Se: 0.7588 0.2263 0.2561  3 Y 2.78-2.95, 1 Ho 2.94
Se: 0.2263 0.7588 0.2561  3 Y 2.78-2.95, 1 Ho 2.94
Se: 0.7588 0.7588 0.2561  3 Y 2.78-2.95, 1 Ho 2.94
Se: 0.7575 0.7575 0.7275  4 Y 2.77-2.95

***

Be2RuPt | GGA-PBE | optimized geometry

## Properties
The calculation puts the formation energy at -0.28 eV/atom. As for the energy above the most stable polymorph in this dataset: 252.1 meV/atom. As for the energy: -5.970 eV/atom.

Cell: 3.9026 3.9026 4.8290 Å, 79.46 79.46 41.00°
With the nearest neighbours (Å) after each atom.
Atoms (fractional coordinates):
Ru: 0.2500 0.2500 0.2500  6 Be 2.34-2.38
Pt: 0.7500 0.7500 0.7500  6 Be 2.42-2.44
Be: 0.9992 0.9992 0.0151  3 Ru 2.34-2.38, 3 Pt 2.42-2.44
Be: 0.5008 0.5008 0.4849  3 Ru 2.34-2.38, 3 Pt 2.42-2.44

***

Ac2Dy3Tl4 | GGA-PBE | optimized geometry

## Properties
The calculation puts the formation energy at -0.37 eV/atom. As for the energy above the most stable polymorph in this dataset: 0.0 meV/atom. As for the energy: -3.864 eV/atom.

Cell: 8.2837 8.5908 8.5632 Å, 90.00 90.00 108.44°
With the nearest neighbours (Å) after each atom.
Atoms (fractional coordinates):
Ac: 0.5657 0.1900 0.3217  7 Tl 3.41-3.73
Ac: 0.9343 0.8100 0.8217  7 Tl 3.41-3.73
Ac: 0.4343 0.8100 0.6783  7 Tl 3.41-3.73
Ac: 0.0657 0.1900 0.1783  7 Tl 3.41-3.73
Dy: 0.0000 0.5000 0.5000  6 Tl 3.23-3.42
Dy: 0.5000 0.5000 0.0000  6 Tl 3.23-3.42
Dy: 0.7493 0.2486 0.8352  6 Tl 3.15-3.28
Dy: 0.7507 0.7514 0.3352  6 Tl 3.15-3.28
Dy: 0.2507 0.7514 0.1648  6 Tl 3.15-3.28
Dy: 0.2493 0.2486 0.6648  6 Tl 3.15-3.28
Tl: 0.8569 0.0830 0.5420  4 Dy 3.15-3.42, 1 Tl 3.21, 1 Ac 3.41
Tl: 0.6431 0.9170 0.0420  4 Dy 3.15-3.42, 1 Tl 3.21, 1 Ac 3.41
Tl: 0.1431 0.9170 0.4580  4 Dy 3.15-3.42, 1 Tl 3.21, 1 Ac 3.41
Tl: 0.3569 0.0830 0.9580  4 Dy 3.15-3.42, 1 Tl 3.21, 1 Ac 3.41
Tl: 0.8665 0.5008 0.1281  1 Tl 3.12, 5 Dy 3.16-3.37, 1 Ac 3.45
Tl: 0.6335 0.4992 0.6281  1 Tl 3.12, 5 Dy 3.16-3.37, 1 Ac 3.45
Tl: 0.1335 0.4992 0.8719  1 Tl 3.12, 5 Dy 3.16-3.37, 1 Ac 3.45
Tl: 0.3665 0.5008 0.3719  1 Tl 3.12, 5 Dy 3.16-3.37, 1 Ac 3.45

***

Cd5GeBr12 | GGA-PBE | optimized geometry

## Properties
As for the formation energy from raw total energies: -806 meV per atom. As for the energy: -2.432 eV/atom.

Cell: 7.0306 7.0435 13.7340 Å, 89.95 89.89 60.06°
With the nearest neighbours (Å) after each atom.
Atoms (fractional coordinates):
Cd: 0.5000 0.0000 0.5000  6 Br 2.82
Cd: 0.1667 0.6667 0.5000  6 Br 2.82
Cd: 0.8333 0.3334 0.5000  6 Br 2.82
Cd: 0.6667 0.6667 0.0000  6 Br 2.82
Cd: 0.3334 0.3333 0.0000  6 Br 2.82
Ge: 0.0000 0.0000 0.0000  6 Br 2.85
Br: 0.8340 0.0000 0.3856  3 Cd 2.82
Br: 0.1660 0.0000 0.6144  3 Cd 2.82
Br: 0.6639 0.0000 0.8847  2 Cd 2.82, 1 Ge 2.85
Br: 0.3361 0.0000 0.1153  2 Cd 2.82, 1 Ge 2.85
Br: 0.3364 0.6637 0.8847  2 Cd 2.82, 1 Ge 2.85
Br: 0.9999 0.6637 0.1153  2 Cd 2.82, 1 Ge 2.85
Br: 0.0002 0.3362 0.8847  2 Cd 2.82, 1 Ge 2.85
Br: 0.6636 0.3363 0.1153  2 Cd 2.82, 1 Ge 2.85
Br: 0.4994 0.3333 0.6143  3 Cd 2.82
Br: 0.8326 0.6667 0.6143  3 Cd 2.82
Br: 0.1674 0.3333 0.3857  3 Cd 2.82
Br: 0.5006 0.6667 0.3857  3 Cd 2.82

***

Dy2H4Ir | GGA-PBE | optimized geometry

## Properties
As for the energy: -4.917 eV/atom.

Cell: 3.6596 3.6596 6.7281 Å, 74.22 74.22 90.00°
With the nearest neighbours (Å) after each atom.
Atoms (fractional coordinates):
H: 0.1439 0.1439 0.7123  1 Ir 1.79
H: 0.8561 0.8561 0.2877  1 Ir 1.79
H: 0.0000 0.5000 0.0000  2 Ir 1.83
H: 0.5000 0.0000 0.0000  2 Ir 1.83
Ir: 0.0000 0.0000 0.0000  6 H 1.79-1.83
Dy: 0.3513 0.3513 0.2974  9 H 2.58-2.60
Dy: 0.6487 0.6487 0.7026  9 H 2.58-2.60